No. 1
# DyTmAg2

DyTmAg2 after structural relaxation (PBE, Alexandria via LeMat-Bulk).

Formation enthalpy at 0 K, eV per atom: -0.3288
Symmetry: No. 123

```
DyTmAg2
1.0
-0.332 -3.161 -1.661
0.372 -1.690 3.141
-7.257 0.241 0.990
Tm Dy Ag
1 1 2
Direct
0.500 0.500 0.000 Tm
0.500 0.500 0.500 Dy
0.000 0.000 0.243 Ag
0.000 0.000 0.757 Ag
```

---

No. 2
# Ba2NaTl9

Ba2NaTl9 after structural relaxation (PBE, Alexandria via LeMat-Bulk).

Formation enthalpy at 0 K, eV per atom: -0.1498
Symmetry: No. 166

```
Ba2NaTl9
1.0
6.569 0.000 0.000
3.284 5.689 0.000
3.284 1.896 11.031
Tl Ba Na
9 2 1
Direct
0.080 0.585 0.750 Tl
0.665 0.665 0.005 Tl
0.415 0.920 0.250 Tl
0.920 0.415 0.250 Tl
0.585 0.585 0.750 Tl
0.335 0.335 0.995 Tl
0.585 0.080 0.750 Tl
0.415 0.415 0.250 Tl
0.500 0.500 0.500 Tl
0.137 0.137 0.588 Ba
0.863 0.863 0.412 Ba
0.000 0.000 0.000 Na
```

---

No. 3
# Cd4BiPBr2

Cd4BiPBr2 after structural relaxation (PBE, Alexandria via LeMat-Bulk).

Calculated total energy, eV/atom: -2.247
Symmetry: No. 15

```
Cd4BiPBr2
1.0
-8.132 -3.603 1.645
4.140 -1.142 7.961
-0.020 7.333 -2.819
Cd P Br Bi
8 2 4 2
Direct
0.781 0.720 0.976 Cd
0.803 0.181 0.992 Cd
0.319 0.697 0.508 Cd
0.780 0.719 0.524 Cd
0.197 0.819 0.008 Cd
0.219 0.280 0.024 Cd
0.681 0.303 0.492 Cd
0.220 0.281 0.476 Cd
0.500 0.500 0.500 P
0.000 0.000 0.000 P
0.500 0.000 0.500 Br
0.000 0.000 0.500 Br
0.500 0.500 0.000 Br
0.500 0.000 0.000 Br
0.000 0.500 0.000 Bi
0.000 0.500 0.500 Bi
```

---

No. 4
# Pu4Pd4Pb

Pu4Pd4Pb after structural relaxation (PBE, Alexandria via LeMat-Bulk).

Formation enthalpy at 0 K, eV per atom: -0.1200
Symmetry: No. 137

```
Pu4Pd4Pb
1.0
-2.574 -5.956 4.629
3.646 -5.264 -4.746
5.826 0.516 3.903
Pu Pd Pb
8 8 2
Direct
0.818 0.500 0.772 Pu
0.500 0.818 0.228 Pu
0.000 0.682 0.272 Pu
0.182 0.500 0.772 Pu
0.318 0.000 0.728 Pu
0.500 0.182 0.228 Pu
0.000 0.318 0.272 Pu
0.682 0.000 0.728 Pu
0.684 0.500 0.151 Pd
0.500 0.316 0.849 Pd
0.184 0.000 0.349 Pd
0.000 0.816 0.651 Pd
0.816 0.000 0.349 Pd
0.000 0.184 0.651 Pd
0.316 0.500 0.151 Pd
0.500 0.684 0.849 Pd
0.000 0.000 0.000 Pb
0.500 0.500 0.500 Pb
```

---

No. 5
# Ti2InCu

Ti2InCu after structural relaxation (PBE, Alexandria via LeMat-Bulk).

Formation enthalpy at 0 K, eV per atom: 0.2567
Symmetry: No. 122

```
Ti2InCu
1.0
7.349 0.000 0.000
0.000 7.349 0.000
3.674 3.674 2.683
Cu Ti In
2 4 2
Direct
0.500 0.500 0.000 Cu
0.250 0.750 0.500 Cu
0.160 0.625 0.250 Ti
0.875 0.840 0.750 Ti
0.590 0.125 0.250 Ti
0.375 0.410 0.750 Ti
0.750 0.250 0.500 In
0.000 0.000 0.000 In
```

---

No. 6
# PuTh2Ge

PuTh2Ge after structural relaxation (PBE, Alexandria via LeMat-Bulk).

Formation enthalpy at 0 K, eV per atom: 0.1663
Symmetry: No. 166
ΔE to the lowest computed polymorph, eV per atom: 0.446

```
PuTh2Ge
1.0
3.389 0.000 0.000
1.694 2.935 0.000
1.694 0.978 11.367
Th Ge Pu
2 1 1
Direct
0.094 0.094 0.718 Th
0.906 0.906 0.282 Th
0.500 0.500 0.500 Ge
0.000 0.000 0.000 Pu
```

---

No. 7
# Pr6Os2Cl3F

Pr6Os2Cl3F after structural relaxation (PBE, Alexandria via LeMat-Bulk).

Calculated total energy, eV/atom: -6.073
Symmetry: No. 12

```
Pr6Os2Cl3F
1.0
7.083 -0.014 -0.004
-3.552 6.128 -0.004
-1.181 -2.045 7.619
Pr Os Cl F
6 2 3 1
Direct
0.726 0.726 0.202 Pr
0.588 0.931 0.794 Pr
0.412 0.069 0.206 Pr
0.931 0.588 0.794 Pr
0.274 0.274 0.798 Pr
0.069 0.412 0.206 Pr
0.333 0.667 0.000 Os
0.667 0.333 0.000 Os
0.500 0.500 0.500 Cl
0.828 0.172 0.500 Cl
0.172 0.828 0.500 Cl
0.000 0.000 0.000 F
```

---

No. 8
# Tc2MoRu

Tc2MoRu after structural relaxation (PBE, Alexandria via LeMat-Bulk).

Formation enthalpy at 0 K, eV per atom: 0.0937
Symmetry: No. 99
ΔE to the lowest computed polymorph, eV per atom: 0.078

```
Tc2MoRu
1.0
2.720 0.431 0.000
-0.431 2.720 0.000
0.000 0.000 7.793
Mo Tc Ru
1 2 1
Direct
0.000 0.000 0.504 Mo
0.500 0.500 0.243 Tc
0.000 0.000 0.000 Tc
0.500 0.500 0.754 Ru
```

---

No. 9
# HoNpBi2

HoNpBi2 after structural relaxation (PBE, Alexandria via LeMat-Bulk).

Formation enthalpy at 0 K, eV per atom: -0.2264
Symmetry: No. 123
ΔE to the lowest computed polymorph, eV per atom: 0.128

```
HoNpBi2
1.0
-1.826 -3.550 0.674
3.364 -1.946 -1.136
2.280 0.082 6.610
Ho Bi Np
1 2 1
Direct
0.500 0.500 0.000 Ho
0.000 0.000 0.751 Bi
0.000 0.000 0.249 Bi
0.500 0.500 0.500 Np
```

---

No. 10
# Mn2ZnAsPb

Mn2ZnAsPb after structural relaxation (PBE, Alexandria via LeMat-Bulk).

Formation enthalpy at 0 K, eV per atom: 1.3172
Symmetry: No. 123

```
Mn2ZnAsPb
1.0
4.624 0.000 0.000
0.000 4.654 0.000
0.000 0.000 4.624
Mn Zn As Pb
2 1 1 1
Direct
0.000 0.000 0.500 Mn
0.500 0.000 0.000 Mn
0.000 0.000 0.000 Zn
0.000 0.500 0.000 As
0.500 0.500 0.500 Pb
```

---

No. 11
# Be2GaTcBr

Be2GaTcBr after structural relaxation (PBE, Alexandria via LeMat-Bulk).

Symmetry: No. 123
ΔE to the lowest computed polymorph, eV per atom: 0.701

```
Be2GaTcBr
1.0
4.126 0.000 0.000
0.000 5.183 0.000
0.000 0.000 4.126
Be Tc Ga Br
2 1 1 1
Direct
0.500 0.000 0.000 Be
0.000 0.000 0.500 Be
0.500 0.500 0.500 Tc
0.000 0.500 0.000 Ga
0.000 0.000 0.000 Br
```

---

No. 12
# HfTaSe2Br

HfTaSe2Br after structural relaxation (PBE, Alexandria via LeMat-Bulk).

Symmetry: No. 123
ΔE to the lowest computed polymorph, eV per atom: 0.051

```
HfTaSe2Br
1.0
-3.806 -0.392 3.495
-2.868 -2.636 -3.418
1.993 -4.349 1.682
Br Hf Ta Se
1 1 1 2
Direct
0.000 0.000 0.500 Br
0.000 0.000 0.000 Hf
0.500 0.500 0.500 Ta
0.500 0.000 0.000 Se
0.000 0.500 0.000 Se
```

---

No. 13
# Zr3TiAg3S8

Zr3TiAg3S8 after structural relaxation (PBE, Alexandria via LeMat-Bulk).

Calculated total energy, eV/atom: -6.018
Symmetry: No. 12

```
Zr3TiAg3S8
1.0
-5.982 3.992 0.123
-0.444 -7.121 -0.788
1.948 2.693 7.336
Ag S Zr Ti
3 8 3 1
Direct
0.500 0.500 0.000 Ag
0.000 0.500 0.000 Ag
0.000 0.000 0.000 Ag
0.246 0.013 0.281 S
0.743 0.487 0.728 S
0.766 0.013 0.281 S
0.234 0.987 0.719 S
0.754 0.987 0.719 S
0.766 0.533 0.281 S
0.257 0.513 0.272 S
0.234 0.467 0.719 S
0.500 0.000 0.500 Zr
0.000 0.500 0.500 Zr
0.500 0.500 0.500 Zr
0.000 0.000 0.500 Ti
```

---

No. 14
# Pm4Dy5Y2

Pm4Dy5Y2 after structural relaxation (PBE, Alexandria via LeMat-Bulk).

Formation enthalpy at 0 K, eV per atom: 0.1144
Symmetry: No. 12
ΔE to the lowest computed polymorph, eV per atom: 0.014

```
Pm4Dy5Y2
1.0
7.460 0.000 0.000
3.730 5.473 0.927
3.730 1.578 9.218
Y Pm Dy
2 4 5
Direct
0.859 0.157 0.125 Y
0.141 0.843 0.875 Y
0.312 0.880 0.496 Pm
0.688 0.120 0.504 Pm
0.669 0.780 0.881 Pm
0.331 0.220 0.119 Pm
0.000 0.500 0.500 Dy
0.648 0.368 0.776 Dy
0.352 0.632 0.224 Dy
0.792 0.632 0.224 Dy
0.208 0.368 0.776 Dy
```

---

No. 15
# InSn2Br5

InSn2Br5 after structural relaxation (PBE, Alexandria via LeMat-Bulk).

Calculated total energy, eV/atom: -3.117
Symmetry: No. 63

```
InSn2Br5
1.0
-5.192 -1.146 -2.686
5.650 -3.783 -2.702
-2.629 -10.866 9.717
Sn Br In
4 10 2
Direct
0.148 0.296 0.559 Sn
0.852 0.704 0.059 Sn
0.852 0.704 0.441 Sn
0.148 0.296 0.941 Sn
0.772 0.544 0.250 Br
0.648 0.296 0.553 Br
0.352 0.704 0.053 Br
0.228 0.456 0.750 Br
0.054 0.108 0.124 Br
0.946 0.892 0.624 Br
0.648 0.296 0.947 Br
0.946 0.892 0.876 Br
0.054 0.108 0.376 Br
0.352 0.704 0.447 Br
0.538 0.077 0.250 In
0.462 0.923 0.750 In
```

---

No. 16
# LiZn2Ag

LiZn2Ag after structural relaxation (PBE, Alexandria via LeMat-Bulk).

Formation enthalpy at 0 K, eV per atom: -0.1547
Symmetry: No. 47

```
LiZn2Ag
1.0
3.621 0.000 0.000
0.000 4.016 0.000
0.000 0.000 4.196
Zn Li Ag
2 1 1
Direct
0.500 0.500 0.000 Zn
0.000 0.000 0.000 Zn
0.000 0.500 0.500 Li
0.500 0.000 0.500 Ag
```

---

No. 17
# Zr4TiCo

Zr4TiCo after structural relaxation (PBE, Alexandria via LeMat-Bulk).

Formation enthalpy at 0 K, eV per atom: -0.0596
Symmetry: No. 124

```
Zr4TiCo
1.0
-0.112 5.483 1.090
-1.154 -1.287 6.358
6.485 -0.097 1.157
Zr Ti Co
8 2 2
Direct
0.000 0.184 0.648 Zr
0.000 0.816 0.352 Zr
0.500 0.352 0.816 Zr
0.000 0.352 0.184 Zr
0.000 0.648 0.816 Zr
0.500 0.184 0.352 Zr
0.500 0.816 0.648 Zr
0.500 0.648 0.184 Zr
0.250 0.000 0.000 Ti
0.750 0.000 0.000 Ti
0.250 0.500 0.500 Co
0.750 0.500 0.500 Co
```